Entry 1:
An optimized crystal structure of Cs5IrS5. Source: Alexandria, functional PBE-GGA.

Geometry as POSCAR:
```
Cs5IrS5
1.0
6.5312 0.0000 0.0000
-3.2656 7.5325 -0.1486
0.0000 -2.9885 8.6438
Cs S Ir
5 5 1
Direct
0.6941 0.3883 0.2885
0.3404 0.6808 0.1759
0.3059 0.6117 0.7115
0.0000 0.0000 0.5000
0.6596 0.3192 0.8241
0.1194 0.2389 0.8887
0.8806 0.7611 0.1113
0.1178 0.2356 0.2490
0.8822 0.7644 0.7510
0.5000 0.0000 0.0000
0.0000 0.0000 0.0000
```

## Properties
Symmetry   C2/m (12)

***

Entry 2:
An optimized crystal structure of CsTl2IrS. Source: Alexandria, functional PBE-GGA.

Geometry as POSCAR:
```
CsTl2IrS
1.0
-4.6303 -1.5379 -2.0746
2.2156 -0.1778 -4.8133
1.4386 -5.4985 0.8654
Tl Cs S Ir
2 1 1 1
Direct
0.5000 0.0000 0.0000
0.0000 0.5000 0.0000
0.0000 0.0000 0.5000
0.5000 0.5000 0.5000
0.0000 0.0000 0.0000
```

## Properties
Symmetry   P4/mmm (123)

***

Entry 3:
An optimized crystal structure of Cs2UIrS4. Source: Alexandria, functional PBE-GGA.

Geometry as POSCAR:
```
Cs2UIrS4
1.0
6.1726 0.0000 0.0000
3.0863 7.6373 0.0000
3.0863 0.0000 12.6823
Ir S Cs U
2 8 4 2
Direct
0.2500 0.5000 0.5000
0.5000 0.0000 0.0000
0.8803 0.7096 0.5783
0.5414 0.2904 0.5783
0.5818 0.2096 0.0783
0.1682 0.2904 0.4217
0.4101 0.7096 0.4217
0.8697 0.7904 0.9217
0.3399 0.7904 0.0783
0.2086 0.2096 0.9217
0.8207 0.0000 0.3585
0.1793 0.0000 0.6415
0.9293 0.5000 0.1415
0.5707 0.5000 0.8585
0.0000 0.0000 0.0000
0.7500 0.5000 0.5000
```

## Properties
Symmetry   Fddd (70)

***

Entry 4:
An optimized crystal structure of Cs3U3IrS8. Source: Alexandria, functional PBE-GGA.

Geometry as POSCAR:
```
Cs3U3IrS8
1.0
7.7397 0.0004 0.0001
-3.8695 6.7029 -0.0267
-0.0001 -4.4355 8.4062
U S Cs Ir
3 8 3 1
Direct
0.0000 0.5000 0.5000
0.5000 0.0000 0.5000
0.5000 0.5000 0.5000
0.2515 0.0394 0.3273
0.2704 0.5408 0.3112
0.2121 0.9606 0.6728
0.7296 0.4592 0.6888
0.2118 0.4236 0.6726
0.7485 0.9606 0.6727
0.7879 0.0394 0.3272
0.7882 0.5764 0.3274
0.0000 0.5000 0.0000
0.0000 0.0000 0.0000
0.5000 0.5000 0.0000
0.0000 0.0000 0.5000
```

## Properties
Symmetry   R-3m (166)

***

Entry 5:
An optimized crystal structure of CsV2IrS8. Source: Alexandria, functional PBE-GGA.

Geometry as POSCAR:
```
CsV2IrS8
1.0
6.1742 0.0000 0.0000
3.0871 5.3470 0.0000
3.0871 1.7823 9.3260
S Cs V Ir
8 1 2 1
Direct
0.7308 0.0467 0.8573
0.1891 0.1891 0.4326
0.3652 0.7308 0.8573
0.2692 0.9533 0.1427
0.6348 0.2692 0.1427
0.9533 0.6348 0.1427
0.8109 0.8109 0.5674
0.0467 0.3652 0.8573
0.5000 0.5000 0.5000
0.2645 0.2645 0.2065
0.7355 0.7355 0.7935
0.0000 0.0000 0.0000
```

## Properties
Symmetry   R-3 (148)

***

Entry 6:
An optimized crystal structure of CsIrW2S8. Source: Alexandria, functional PBE-GGA.

Geometry as POSCAR:
```
CsIrW2S8
1.0
-0.7149 -5.3290 3.1236
4.8214 -2.4994 3.0288
-1.0613 2.4135 10.0641
S W Cs Ir
8 2 1 1
Direct
0.9539 0.6417 0.1449
0.3583 0.7404 0.8551
0.7404 0.0461 0.8551
0.6417 0.2596 0.1449
0.0461 0.3583 0.8551
0.8107 0.8107 0.5679
0.2596 0.9539 0.1449
0.1893 0.1893 0.4321
0.2638 0.2638 0.2087
0.7362 0.7362 0.7913
0.5000 0.5000 0.5000
0.0000 0.0000 0.0000
```

## Properties
Symmetry   R-3 (148)

***

Entry 7:
An optimized crystal structure of CsZr2IrS. Source: Alexandria, functional PBE-GGA.

Geometry as POSCAR:
```
CsZr2IrS
1.0
5.0216 0.0000 0.0000
0.0000 6.6270 0.0000
0.0000 0.0000 5.0216
Cs Zr S Ir
1 2 1 1
Direct
0.0000 0.5000 0.0000
0.5000 0.0000 0.0000
0.0000 0.0000 0.5000
0.5000 0.5000 0.5000
0.0000 0.0000 0.0000
```

## Properties
Symmetry   P4/mmm (123)

***

Entry 8:
An optimized crystal structure of CsSb2Ir. Source: Alexandria, functional PBE-GGA.

Geometry as POSCAR:
```
CsSb2Ir
1.0
-2.6516 -1.2760 -3.2107
1.5121 -2.5530 -3.1880
-2.3170 -7.5199 1.9483
Cs Ir Sb
1 1 2
Direct
0.5000 0.5000 0.5000
0.0000 0.0000 0.0000
0.7110 0.7110 0.8671
0.2890 0.2890 0.1329
```

## Properties
Relative energy among the computed polymorphs   0.00 eV per formula unit
Symmetry   R-3m (166)

***

Entry 9:
An optimized crystal structure of CsSbIr. Source: Alexandria, functional PBE-GGA.

Geometry as POSCAR:
```
CsSbIr
1.0
4.2770 0.0000 0.0000
0.0000 4.2770 0.0000
0.0000 0.0000 12.3883
Sb Cs Ir
2 2 2
Direct
0.0000 0.5000 0.3767
0.5000 0.0000 0.6233
0.5000 0.0000 0.1984
0.0000 0.5000 0.8016
0.0000 0.0000 0.5000
0.5000 0.5000 0.5000
```

## Properties
Symmetry   P4/nmm (129)

***

Entry 10:
An optimized crystal structure of Cs2Sb2Ir. Source: Alexandria, functional PBE-GGA.

Geometry as POSCAR:
```
Cs2Sb2Ir
1.0
-2.3845 4.6721 4.6719
2.5060 -3.9562 5.2354
5.6645 3.1910 -0.3000
Cs Sb Ir
4 4 2
Direct
0.3209 0.1791 0.5000
0.6791 0.8209 0.5000
0.1791 0.6791 0.5000
0.8209 0.3209 0.5000
0.3523 0.8523 0.0000
0.8523 0.6477 0.0000
0.6477 0.1477 0.0000
0.1477 0.3523 0.0000
0.5000 0.5000 0.0000
0.0000 0.0000 0.0000
```

## Properties
Symmetry   P4/mbm (127)

***

Entry 11:
An optimized crystal structure of CsSbIr3. Source: Alexandria, functional PBE-GGA.

Geometry as POSCAR:
```
CsSbIr3
1.0
-2.9678 -1.0498 3.9044
2.9093 -3.9178 1.1581
2.8076 2.9501 2.9273
Ir Cs Sb
3 1 1
Direct
0.0000 0.0000 0.5000
0.5000 0.0000 0.0000
0.0000 0.5000 0.0000
0.0000 0.0000 0.0000
0.5000 0.5000 0.5000
```

## Properties
Symmetry   Pm-3m (221)

***

Entry 12:
An optimized crystal structure of CsSb2Ir. Source: Alexandria, functional PBE-GGA.

Geometry as POSCAR:
```
CsSb2Ir
1.0
0.0000 3.7087 3.7087
3.7087 0.0000 3.7087
3.7087 3.7087 0.0000
Sb Cs Ir
2 1 1
Direct
0.2500 0.2500 0.2500
0.7500 0.7500 0.7500
0.0000 0.0000 0.0000
0.5000 0.5000 0.5000
```

## Properties
Relative energy among the computed polymorphs   3.83 eV per formula unit
Symmetry   Fm-3m (225)

***

Mass density for every record listed, in sequence, given in g/cm3: 3.999; 7.871; 4.579; 5.958; 3.687; 4.821; 5.362; 7.459; 6.549; 7.255; 10.942; 9.256.
Final energy for every record listed, in sequence, given in eV/atom: -3.614; -3.463; -5.615; -6.361; -5.560; -6.207; -5.715; -4.777; -4.871; -3.912; -3.460; -3.820.